Entry 1:
A relaxed structure of CsErCdSe3, computed with PBE.

**M_tot**: 0.0 μB per formula unit
**Final energy**: -4.042 eV per atom

Lattice parameters (Å, degrees): 9.2744 9.2744 9.5975 101.09 101.09 26.61
Fractional positions:
Cs1 0.1518 0.1518 0.0597
Cs2 0.8482 0.8482 0.9403
Er1 0.1683 0.1683 0.5712
Er2 0.8317 0.8317 0.4288
Cd1 0.4951 0.4951 0.2809
Cd2 0.5049 0.5049 0.7191
Se1 0.0000 0.0000 0.5000
Se2 0.3305 0.3305 0.6297
Se3 0.3418 0.3418 0.2410
Se4 0.5000 0.5000 0.0000
Se5 0.6582 0.6582 0.7590
Se6 0.6695 0.6695 0.3703

***

Entry 2:
A relaxed structure of CsErCdSe3, computed with PBE.

**M_tot**: 0.0 μB per formula unit
**Final energy**: -4.144 eV per atom

Lattice parameters (Å, degrees): 9.2157 4.2827 10.9276 90.00 111.77 90.00
Fractional positions:
Cs1 0.2459 0.2500 0.2664
Cs2 0.7541 0.7500 0.7336
Er1 0.3250 0.7500 0.8699
Er2 0.6750 0.2500 0.1301
Cd1 0.0791 0.2500 0.6148
Cd2 0.9209 0.7500 0.3852
Se1 0.1084 0.2500 0.8624
Se2 0.2291 0.7500 0.5645
Se3 0.4722 0.7500 0.1417
Se4 0.5278 0.2500 0.8583
Se5 0.7709 0.2500 0.4355
Se6 0.8916 0.7500 0.1376

***

Entry 3:
A relaxed structure of CsErCdTe3, computed with PBE.

**M_tot**: 0.0 μB per formula unit
**Final energy**: -3.706 eV per atom

Lattice parameters (Å, degrees): 8.8696 8.8696 11.8017 90.00 90.00 150.50
Fractional positions:
Cs1 0.2492 0.7508 0.7500
Cs2 0.7508 0.2492 0.2500
Er1 0.0000 0.0000 0.0000
Er2 0.0000 0.0000 0.5000
Cd1 0.4616 0.5384 0.2500
Cd2 0.5384 0.4616 0.7500
Te1 0.0656 0.9344 0.2500
Te2 0.3791 0.6209 0.0444
Te3 0.3791 0.6209 0.4556
Te4 0.6209 0.3791 0.5444
Te5 0.6209 0.3791 0.9556
Te6 0.9344 0.0656 0.7500